1.
Below is a geometry-optimized Y2GaIr structure, with properties calculated at the PBE level.

Output
DOS(E_F) (states/eV/f.u.): 1.8
Space-group type: No. 123
Energy of formation from the pure elements (eV/atom): -0.71
ρ (g/cm³): 8.4

Lattice parameters (Å, degrees): 3.5409 3.5409 6.9550 90.00 90.00 90.00
Sites, in units of the cell vectors:
Y 0.0000 0.0000 0.7659
Y 0.0000 0.0000 0.2341
Ir 0.5000 0.5000 0.0000
Ga 0.5000 0.5000 0.5000

---

2.
Below is a geometry-optimized Ac6HgIr2Cl3 structure, with properties calculated at the PBE level.

Output
DOS(E_F) (states/eV/f.u.): 8.9
Space-group type: No. 12
Uncorrected formation energy (eV/atom): -1.160
ρ (g/cm³): 8.2

Lattice parameters (Å, degrees): 4.3770 9.3655 10.8045 106.28 101.69 90.00
Sites, in units of the cell vectors:
Ac 0.3381 0.8818 0.6761
Ac 0.6844 0.5678 0.3689
Ac 0.6619 0.1182 0.3239
Ac 0.0256 0.2680 0.0512
Ac 0.9744 0.7320 0.9488
Ac 0.3156 0.4322 0.6311
Hg 0.5000 0.0000 0.0000
Ir 0.8313 0.6590 0.6626
Ir 0.1687 0.3410 0.3374
Cl 0.5000 0.5000 0.0000
Cl 0.8211 0.1419 0.6423
Cl 0.1789 0.8581 0.3577

---

3.
Below is a geometry-optimized CaZr2Tc structure, with properties calculated at the PBE level.

Output
DOS(E_F) (states/eV/f.u.): 3.7
Space-group type: No. 225
Energy of formation from the pure elements (eV/atom): 0.22
ρ (g/cm³): 6.3
Polymorph energy (0 for the lowest one) (meV per atom): 241

Lattice parameters (Å, degrees): 4.9273 4.9273 4.9273 60.00 60.00 60.00
Sites, in units of the cell vectors:
Ca 0.0000 0.0000 0.0000
Tc 0.5000 0.5000 0.5000
Zr 0.2500 0.2500 0.2500
Zr 0.7500 0.7500 0.7500

---

4.
Below is a geometry-optimized ErPuBiAu structure, with properties calculated at the PBE level.

Output
DOS(E_F) (states/eV/f.u.): 11.1
Space-group type: No. 216
Energy of formation from the pure elements (eV/atom): -0.50
ρ (g/cm³): 12.9

Lattice parameters (Å, degrees): 5.2923 5.2923 5.2923 60.00 60.00 60.00
Site moments in Bohr magnetons follow the coordinates.
Sites, in units of the cell vectors:
Er 0.2500 0.2500 0.2500  0.54
Au 0.5000 0.5000 0.5000  0.07
Bi 0.0000 0.0000 0.0000  -0.04
Pu 0.7500 0.7500 0.7500  5.65

---

5.
Below is a geometry-optimized Be2CrRh structure, with properties calculated at the PBE level.

Output
DOS(E_F) (states/eV/f.u.): 3.2
Space-group type: No. 225
Energy of formation from the pure elements (eV/atom): -0.27
ρ (g/cm³): 6.7
Polymorph energy (0 for the lowest one) (meV per atom): 0

Lattice parameters (Å, degrees): 3.9303 3.9303 3.9303 60.00 60.00 60.00
Site moments in Bohr magnetons follow the coordinates.
Sites, in units of the cell vectors:
Cr 0.0000 0.0000 0.0000  2.62
Rh 0.5000 0.5000 0.5000  0.13
Be 0.2500 0.2500 0.2500  -0.03
Be 0.7500 0.7500 0.7500  -0.03

---

6.
Below is a geometry-optimized ZnTe3 structure, with properties calculated at the PBE level.

Output
DOS(E_F) (states/eV/f.u.): 1.5
Space-group type: No. 123
Uncorrected formation energy (eV/atom): 0.222
ρ (g/cm³): 6.9

Lattice parameters (Å, degrees): 3.5426 3.5426 8.5557 90.00 90.00 90.00
Sites, in units of the cell vectors:
Te 0.5000 0.5000 0.8209
Te 0.0000 0.0000 0.5000
Te 0.5000 0.5000 0.1791
Zn 0.0000 0.0000 0.0000

---

7.
Below is a geometry-optimized Sr2P structure, with properties calculated at the PBE level.

Output
DOS(E_F) (states/eV/f.u.): 1.6
Space-group type: No. 194
Energy of formation from the pure elements (eV/atom): -0.55
ρ (g/cm³): 3.9

Lattice parameters (Å, degrees): 5.3752 5.3752 6.9902 90.00 90.00 120.00
Sites, in units of the cell vectors:
Sr 0.0000 0.0000 0.0000
Sr 0.0000 0.0000 0.5000
Sr 0.3333 0.6667 0.2500
Sr 0.6667 0.3333 0.7500
P 0.6667 0.3333 0.2500
P 0.3333 0.6667 0.7500

---

8.
Below is a geometry-optimized AlTlSnHg2 structure, with properties calculated at the PBE level.

Output
DOS(E_F) (states/eV/f.u.): 2.0
Space-group type: No. 123
Energy of formation from the pure elements (eV/atom): 0.17
ρ (g/cm³): 8.3

Lattice parameters (Å, degrees): 5.2539 5.2539 5.4589 90.00 90.00 90.00
Sites, in units of the cell vectors:
Tl 0.5000 0.5000 0.5000
Al 0.0000 0.0000 0.0000
Hg 0.0000 0.5000 0.0000
Hg 0.5000 0.0000 0.0000
Sn 0.0000 0.0000 0.5000

---

9.
Below is a geometry-optimized ScSiBr structure, with properties calculated at the PBE level.

Output
DOS(E_F) (states/eV/f.u.): 4.5
Space-group type: No. 216
Uncorrected formation energy (eV/atom): 0.293
ρ (g/cm³): 3.4

Lattice parameters (Å, degrees): 4.7243 4.7243 4.7243 60.00 60.00 60.00
Sites, in units of the cell vectors:
Br 0.0000 0.0000 0.0000
Sc 0.5000 0.5000 0.5000
Si 0.7500 0.7500 0.7500

---

10.
Below is a geometry-optimized CaMo2Rh structure, with properties calculated at the PBE level.

Output
DOS(E_F) (states/eV/f.u.): 6.2
Space-group type: No. 122
Energy of formation from the pure elements (eV/atom): 0.75
ρ (g/cm³): 7.1
Polymorph energy (0 for the lowest one) (meV per atom): 550

Lattice parameters (Å, degrees): 7.7056 7.7056 6.0509 50.45 50.45 90.00
Sites, in units of the cell vectors:
Mo 0.6741 0.1250 0.2500
Mo 0.0759 0.6250 0.2500
Mo 0.3750 0.3259 0.7500
Mo 0.8750 0.9241 0.7500
Rh 0.0000 0.0000 0.0000
Rh 0.7500 0.2500 0.5000
Ca 0.5000 0.5000 0.0000
Ca 0.2500 0.7500 0.5000

---

11.
Below is a geometry-optimized YTlP structure, with properties calculated at the PBE level.

Output
DOS(E_F) (states/eV/f.u.): 2.8
Space-group type: No. 216
Energy of formation from the pure elements (eV/atom): -0.37
ρ (g/cm³): 6.6
Polymorph energy (0 for the lowest one) (meV per atom): 277

Lattice parameters (Å, degrees): 4.8606 4.8606 4.8606 60.00 60.00 60.00
Sites, in units of the cell vectors:
Y 0.5000 0.5000 0.5000
Tl 0.0000 0.0000 0.0000
P 0.2500 0.2500 0.2500

---

12.
Below is a geometry-optimized Ti2PbW structure, with properties calculated at the PBE level.

Output
DOS(E_F) (states/eV/f.u.): 6.8
Space-group type: No. 122
Energy of formation from the pure elements (eV/atom): 0.67
ρ (g/cm³): 10.1

Lattice parameters (Å, degrees): 7.5220 7.5220 6.0219 51.35 51.35 90.00
Sites, in units of the cell vectors:
Pb 0.0000 0.0000 0.0000
Pb 0.7500 0.2500 0.5000
W 0.5000 0.5000 0.0000
W 0.2500 0.7500 0.5000
Ti 0.5825 0.1250 0.2500
Ti 0.1675 0.6250 0.2500
Ti 0.3750 0.4175 0.7500
Ti 0.8750 0.8325 0.7500

---

13.
Below is a geometry-optimized ZrScS2 structure, with properties calculated at the PBE level.

Output
DOS(E_F) (states/eV/f.u.): 3.3
Space-group type: No. 160
Uncorrected formation energy (eV/atom): -1.659
ρ (g/cm³): 4.6
Polymorph energy (0 for the lowest one) (meV per atom): 0

Lattice parameters (Å, degrees): 3.5584 3.5584 6.8643 74.98 74.98 60.00
Sites, in units of the cell vectors:
Zr 0.4979 0.4979 0.5064
Sc 0.6684 0.6684 0.9949
S 0.0819 0.0819 0.7542
S 0.2518 0.2518 0.2446

---

14.
Below is a geometry-optimized HoGa3CuOs structure, with properties calculated at the PBE level.

Output
DOS(E_F) (states/eV/f.u.): 2.3
Space-group type: No. 63
Energy of formation from the pure elements (eV/atom): -0.10
ρ (g/cm³): 8.9

Lattice parameters (Å, degrees): 5.5201 7.9508 6.6462 126.74 90.00 90.00
Sites, in units of the cell vectors:
Ho 0.7500 0.3019 0.6039
Ho 0.2500 0.6981 0.3961
Ga 0.2500 0.1889 0.3778
Ga 0.0000 0.2549 0.0000
Ga 0.5000 0.7451 0.0000
Ga 0.5000 0.2549 0.0000
Ga 0.0000 0.7451 0.0000
Ga 0.7500 0.8111 0.6222
Cu 0.2500 0.9652 0.9304
Cu 0.7500 0.0348 0.0696
Os 0.2500 0.4165 0.8331
Os 0.7500 0.5835 0.1669

---

15.
Below is a geometry-optimized Tb4Pr7Mg structure, with properties calculated at the PBE level.

Output
DOS(E_F) (states/eV/f.u.): 16.7
Space-group type: No. 12
Energy of formation from the pure elements (eV/atom): 0.19
ρ (g/cm³): 6.6

Lattice parameters (Å, degrees): 5.6594 6.3403 13.3173 76.29 77.73 63.49
Sites, in units of the cell vectors:
Tb 0.5440 0.6892 0.2227
Tb 0.4560 0.3108 0.7773
Tb 0.9098 0.5523 0.6281
Tb 0.0902 0.4477 0.3719
Pr 0.7751 0.5531 0.8967
Pr 0.2249 0.4469 0.1033
Pr 0.1599 0.9340 0.7462
Pr 0.8401 0.0660 0.2538
Pr 0.3609 0.8078 0.4703
Pr 0.5000 0.0000 0.0000
Pr 0.6391 0.1922 0.5297
Mg 0.0000 0.0000 0.0000

---

16.
Below is a geometry-optimized K2BaHg6 structure, with properties calculated at the PBE level.

Output
DOS(E_F) (states/eV/f.u.): 6.2
Space-group type: No. 191
Energy of formation from the pure elements (eV/atom): -0.33
ρ (g/cm³): 7.8

Lattice parameters (Å, degrees): 4.1305 9.1793 9.1793 120.00 90.00 90.00
Sites, in units of the cell vectors:
K 0.0000 0.3333 0.6667
K 0.0000 0.6667 0.3333
Ba 0.0000 0.0000 0.0000
Hg 0.5000 0.3351 0.3351
Hg 0.5000 0.6649 0.6649
Hg 0.5000 0.0000 0.6649
Hg 0.5000 0.6649 0.0000
Hg 0.5000 0.3351 0.0000
Hg 0.5000 0.0000 0.3351

---

17.
Below is a geometry-optimized SrPmPrMg structure, with properties calculated at the PBE level.

Output
DOS(E_F) (states/eV/f.u.): 4.5
Space-group type: No. 216
Energy of formation from the pure elements (eV/atom): 0.13
ρ (g/cm³): 4.7
Polymorph energy (0 for the lowest one) (meV per atom): 0

Lattice parameters (Å, degrees): 5.8281 5.8281 5.8281 60.00 60.00 60.00
Sites, in units of the cell vectors:
Pr 0.2500 0.2500 0.2500
Sr 0.0000 0.0000 0.0000
Mg 0.5000 0.5000 0.5000
Pm 0.7500 0.7500 0.7500

---

18.
Below is a geometry-optimized TlGaPBr2 structure, with properties calculated at the PBE level.

Output
DOS(E_F) (states/eV/f.u.): 1.1
Space-group type: No. 123
Uncorrected formation energy (eV/atom): -0.045
ρ (g/cm³): 4.9

Lattice parameters (Å, degrees): 5.7698 5.7698 4.6982 90.00 90.00 90.00
Sites, in units of the cell vectors:
P 0.0000 0.0000 0.0000
Tl 0.5000 0.5000 0.5000
Ga 0.0000 0.0000 0.5000
Br 0.0000 0.5000 0.0000
Br 0.5000 0.0000 0.0000

---

19.
Below is a geometry-optimized Ho3Pb2C structure, with properties calculated at the PBE level.

Output
DOS(E_F) (states/eV/f.u.): 3.3
Space-group type: No. 15
Energy of formation from the pure elements (eV/atom): -0.27
ρ (g/cm³): 10.0

Lattice parameters (Å, degrees): 6.5444 7.1717 7.1717 107.63 99.85 99.85
Sites, in units of the cell vectors:
Ho 0.0012 0.2666 0.4106
Ho 0.5012 0.4106 0.2666
Ho 0.0000 0.5000 0.0000
Ho 0.9988 0.7334 0.5894
Ho 0.5000 0.0000 0.5000
Ho 0.4988 0.5894 0.7334
Pb 0.2500 0.9354 0.0646
Pb 0.2500 0.2051 0.7949
Pb 0.7500 0.0646 0.9354
Pb 0.7500 0.7949 0.2051
C 0.2500 0.5674 0.4326
C 0.7500 0.4326 0.5674

---

20.
Below is a geometry-optimized La3Bi4Pd3 structure, with properties calculated at the PBE level.

Output
DOS(E_F) (states/eV/f.u.): 9.5
Space-group type: No. 220
Energy of formation from the pure elements (eV/atom): -0.87
ρ (g/cm³): 9.7

Lattice parameters (Å, degrees): 8.8796 8.8796 8.8796 109.47 109.47 109.47
Sites, in units of the cell vectors:
La 0.6250 0.7500 0.8750
La 0.8750 0.2500 0.6250
La 0.1250 0.3750 0.2500
La 0.3750 0.1250 0.7500
La 0.2500 0.8750 0.1250
La 0.7500 0.6250 0.3750
Bi 0.0000 0.0000 0.3323
Bi 0.5000 0.3323 0.5000
Bi 0.6677 0.1677 0.1677
Bi 0.0000 0.0000 0.8323
Bi 0.8323 0.5000 0.0000
Bi 0.5000 0.8323 0.5000
Bi 0.3323 0.5000 0.0000
Bi 0.1677 0.6677 0.6677
Pd 0.1250 0.7500 0.3750
Pd 0.3750 0.2500 0.1250
Pd 0.6250 0.8750 0.2500
Pd 0.8750 0.6250 0.7500
Pd 0.2500 0.3750 0.6250
Pd 0.7500 0.1250 0.8750